Record 1
This record from the Alexandria database describes crystalline CaGa2Sb at its relaxed geometry. The functional is PBE.

It has space group I-42d (No. 122), with a = 8.2254 Å, b = 8.2254 Å, c = 6.1386 Å, α = 90.00°, β = 90.00° and γ = 90.00°. The distinct sites, in fractional coordinates, are Ca at (0.0000, 0.0000, 0.0000), Ga at (0.2167, 0.7500, 0.6250) and Sb at (0.0000, 0.0000, 0.5000).

As for the formation energy (no corrections): -0.310 eV/atom. Its crystal system is tetragonal. For the calculated total energy, the calculation gives -3.3547 eV/atom.



Record 2
This record from the Alexandria database describes crystalline YNiHg2Rh at its relaxed geometry. The functional is PBE.

It has space group P4/mmm (No. 123), with a = 5.1723 Å, b = 5.1723 Å, c = 5.0761 Å, α = 90.00°, β = 90.00° and γ = 90.00°. The distinct sites, in fractional coordinates, are Y at (0.0000, 0.0000, 0.0000), Ni at (0.5000, 0.5000, 0.0000), Hg at (0.0000, 0.5000, 0.5000) and Rh at (0.0000, 0.0000, 0.5000).

Its crystal system is tetragonal. For the calculated total energy, the calculation gives -3.6232 eV/atom. The calculated formation energy is 2.08 eV per formula unit.



> Look up the calculated total energy of the first one.

-3.3547 eV/atom



Copy entry 1 word for word.
This record from the Alexandria database describes crystalline CaGa2Sb at its relaxed geometry. The functional is PBE.

It has space group I-42d (No. 122), with a = 8.2254 Å, b = 8.2254 Å, c = 6.1386 Å, α = 90.00°, β = 90.00° and γ = 90.00°. The distinct sites, in fractional coordinates, are Ca at (0.0000, 0.0000, 0.0000), Ga at (0.2167, 0.7500, 0.6250) and Sb at (0.0000, 0.0000, 0.5000).

As for the formation energy (no corrections): -0.310 eV/atom. Its crystal system is tetragonal. For the calculated total energy, the calculation gives -3.3547 eV/atom.